Material: Hf4VAu2
Method: DFT, PBE
State: relaxed

a = 7.7582 Å, b = 7.7582 Å, c = 7.7582 Å
α = 144.55°, β = 144.55°, γ = 51.01°
Element x y z (fractional)
Hf  0.0000  0.5000  0.5000
Hf  0.1843  0.1843  0.0000
Hf  0.5000  0.0000  0.5000
Hf  0.8157  0.8157  0.0000
V  0.0000  0.0000  0.0000
Au  0.3776  0.3776  0.0000
Au  0.6224  0.6224  0.0000

Properties
**Space group**: No. 139
**Spin magnetization**: 0.00 μB per formula unit
**Calculated formation energy**: 399 meV per atom
**DOS at the Fermi energy**: 8.92 states/eV/f.u.

=====

Material: Hf2WAu
Method: DFT, PBE
State: relaxed

a = 3.3878 Å, b = 3.3878 Å, c = 6.6468 Å
α = 90.00°, β = 90.00°, γ = 90.00°
Element x y z (fractional)
Hf  0.0000  0.0000  0.2360
Hf  0.0000  0.0000  0.7640
W  0.5000  0.5000  0.0000
Au  0.5000  0.5000  0.5000

Properties
**Space group**: No. 123
**Spin magnetization**: 0.00 μB per formula unit
**Calculated formation energy**: -280 meV per atom
**DOS at the Fermi energy**: 3.69 states/eV/f.u.

=====

Material: Hf3WAu
Method: DFT, PBE
State: relaxed

a = 5.0044 Å, b = 5.0044 Å, c = 5.0044 Å
α = 90.00°, β = 90.00°, γ = 90.00°
Element x y z (fractional)
Hf  0.0000  0.0000  0.5000
Hf  0.0000  0.5000  0.0000
Hf  0.5000  0.0000  0.0000
W  0.5000  0.5000  0.5000
Au  0.0000  0.0000  0.0000

Properties
**Space group**: No. 221
**Spin magnetization**: 0.00 μB per formula unit
**Calculated formation energy**: 1330 meV per atom
**DOS at the Fermi energy**: 7.63 states/eV/f.u.